Record 1
# RbZn3Ga (PBE-GGA, optimized geometry)
data_RbZn3Ga
_symmetry_space_group_name_H-M 'P m -3 m'
_symmetry_Int_Tables_number 221
_symmetry_space_group_name_Hall '-P 4 2 3'
_cell_length_a 5.1548
_cell_length_b 5.1548
_cell_length_c 5.1548
_cell_angle_alpha 90.00
_cell_angle_beta 90.00
_cell_angle_gamma 90.00
loop_
_atom_site_label
_atom_site_fract_x
_atom_site_fract_y
_atom_site_fract_z
Rb1 0.0000 0.0000 0.0000
Zn1 0.0000 0.5000 0.5000
Ga1 0.5000 0.5000 0.5000
# Energy relative to the lowest polymorph listed for this composition: 0.0000 eV per atom


Record 2
# YUN (PBE-GGA, optimized geometry)
data_YUN
_symmetry_space_group_name_H-M 'P -1'
_symmetry_Int_Tables_number 2
_symmetry_space_group_name_Hall '-P 1'
_cell_length_a 3.2923
_cell_length_b 4.9964
_cell_length_c 6.8845
_cell_angle_alpha 87.34
_cell_angle_beta 79.07
_cell_angle_gamma 89.28
loop_
_atom_site_label
_atom_site_fract_x
_atom_site_fract_y
_atom_site_fract_z
Y1 0.2014 0.2406 0.1234
U1 0.3772 0.3022 0.6101
N1 0.1914 0.7478 0.1455
# Energy relative to the elements, uncorrected: -77.0 kJ per mole of atoms
# Energy relative to the lowest polymorph listed for this composition: 0.0000 eV per atom


Record 3
# Ac2Sb4Rh3Pb (PBE-GGA, optimized geometry)
data_Ac2Sb4Rh3Pb
_symmetry_space_group_name_H-M 'P -4 m 2'
_symmetry_Int_Tables_number 115
_symmetry_space_group_name_Hall 'P -4 -2'
_cell_length_a 4.8148
_cell_length_b 4.8148
_cell_length_c 10.8112
_cell_angle_alpha 90.00
_cell_angle_beta 90.00
_cell_angle_gamma 90.00
loop_
_atom_site_label
_atom_site_fract_x
_atom_site_fract_y
_atom_site_fract_z
Ac1 0.0000 0.5000 0.2372
Sb1 0.0000 0.0000 0.0000
Sb2 0.0000 0.5000 0.6517
Sb3 0.5000 0.5000 0.0000
Rh1 0.0000 0.5000 0.8905
Rh2 0.5000 0.5000 0.5000
Pb1 0.0000 0.0000 0.5000
# Energy relative to the elements, uncorrected: -60.9 kJ per mole of atoms


Record 4
# P3PdN (PBE-GGA, optimized geometry)
data_P3PdN
_symmetry_space_group_name_H-M 'P m -3 m'
_symmetry_Int_Tables_number 221
_symmetry_space_group_name_Hall '-P 4 2 3'
_cell_length_a 4.6147
_cell_length_b 4.6147
_cell_length_c 4.6147
_cell_angle_alpha 90.00
_cell_angle_beta 90.00
_cell_angle_gamma 90.00
loop_
_atom_site_label
_atom_site_fract_x
_atom_site_fract_y
_atom_site_fract_z
P1 0.0000 0.0000 0.5000
Pd1 0.0000 0.0000 0.0000
N1 0.5000 0.5000 0.5000
# Energy relative to the elements, uncorrected: 191.3 kJ per mole of atoms
# Energy relative to the lowest polymorph listed for this composition: 1.2438 eV per atom


no.,total energy (eV per atom)
1,-1.3701
2,-9.4901
3,-5.6783
4,-3.9670